# YMnSb2 meta-GGA SCAN PBEsol geometry
# spin magnetization: 0.9656 μB per atom
# E_form (uncorrected): -0.11 eV per atom
# electronic total energy: -30.27 eV per atom
data_YMnSb2
_chemical_formula_sum 'Y4 Mn4 Sb8'
_cell_length_a 7.1842
_cell_length_b 7.1842
_cell_length_c 7.1842
_cell_angle_alpha 90.00
_cell_angle_beta 90.00
_cell_angle_gamma 90.00
_symmetry_space_group_name_H-M 'F -4 3 m'
_symmetry_Int_Tables_number 216
_symmetry_space_group_name_Hall 'F -4 2 3'
loop_
_atom_site_label
_atom_site_fract_x
_atom_site_fract_y
_atom_site_fract_z
Y1 0.0000 0.0000 0.0000
Mn1 0.2500 0.2500 0.2500
Sb1 0.0000 0.0000 0.5000
Sb2 0.2500 0.2500 0.7500